# 1
First-principles (PBE) data for Ac2Pu2Te5 after structural relaxation, as listed in the Alexandria database.

Results
Formation energy from raw total energies = -1.218 eV per atom
Calculated total energy = -7.06 eV per atom

a = 5.7591 Å, b = 8.4677 Å, c = 9.4934 Å
α = 123.32°, β = 90.00°, γ = 109.88°
Element x y z (fractional)
Te  0.3578  0.7156  0.0668
Te  0.6422  0.2844  0.9332
Te  0.8700  0.7400  0.5091
Te  0.0000  0.0000  0.0000
Te  0.1300  0.2600  0.4909
Ac  0.3852  0.7704  0.7399
Ac  0.6148  0.2296  0.2601
Pu  0.1132  0.2263  0.8074
Pu  0.8868  0.7737  0.1926


# 2
First-principles (PBE) data for AcPu4Te5 after structural relaxation, as listed in the Alexandria database.

Results
Formation energy from raw total energies = -1.136 eV per atom
Calculated total energy = -8.85 eV per atom

a = 4.4881 Å, b = 6.3883 Å, c = 11.9349 Å
α = 105.52°, β = 100.84°, γ = 90.00°
Element x y z (fractional)
Te  0.1985  0.6985  0.3969
Te  0.3926  0.8926  0.7852
Te  0.6074  0.1074  0.2148
Te  0.8015  0.3015  0.6031
Te  0.0000  0.5000  0.0000
Pu  0.2046  0.2046  0.4092
Pu  0.4003  0.4003  0.8005
Pu  0.7954  0.7954  0.5908
Pu  0.5997  0.5997  0.1995
Ac  0.0000  0.0000  0.0000


# 3
First-principles (PBE) data for AcPu4Te6 after structural relaxation, as listed in the Alexandria database.

Results
Formation energy from raw total energies = -1.142 eV per atom
Calculated total energy = -8.44 eV per atom

a = 4.4664 Å, b = 7.6358 Å, c = 22.8336 Å
α = 90.00°, β = 90.00°, γ = 107.01°
Element x y z (fractional)
Te  0.7683  0.5366  0.0889
Te  0.5000  0.0000  0.0000
Te  0.9524  0.9048  0.8363
Te  0.9524  0.9048  0.6637
Te  0.2317  0.4634  0.5889
Te  0.6745  0.3490  0.7500
Te  0.7683  0.5366  0.4111
Te  0.0476  0.0952  0.1637
Te  0.2317  0.4634  0.9111
Te  0.5000  0.0000  0.5000
Te  0.3255  0.6510  0.2500
Te  0.0476  0.0952  0.3363
Pu  0.1395  0.2789  0.4621
Pu  0.8605  0.7211  0.9621
Pu  0.8605  0.7211  0.5379
Pu  0.4086  0.8172  0.3742
Pu  0.1395  0.2789  0.0379
Pu  0.5914  0.1828  0.6258
Pu  0.4086  0.8172  0.1258
Pu  0.5914  0.1828  0.8742
Ac  0.6588  0.3176  0.2500
Ac  0.3412  0.6824  0.7500


# 4
First-principles (PBE) data for Ac2Pu3ThTe6 after structural relaxation, as listed in the Alexandria database.

Results
Formation energy from raw total energies = -1.201 eV per atom
Calculated total energy = -7.66 eV per atom

a = 4.5187 Å, b = 9.1025 Å, c = 10.1387 Å
α = 102.39°, β = 102.88°, γ = 90.00°
Element x y z (fractional)
Ac  0.1640  0.3334  0.3280
Ac  0.8360  0.6666  0.6720
Pu  0.1691  0.8382  0.3382
Pu  0.5000  0.5000  0.0000
Pu  0.8309  0.1618  0.6618
Te  0.3331  0.9289  0.6663
Te  0.0066  0.7500  0.0131
Te  0.6669  0.0711  0.3337
Te  0.3364  0.4026  0.6727
Te  0.6636  0.5974  0.3273
Te  0.9934  0.2500  0.9869
Th  0.5000  0.0000  0.0000


# 5
First-principles (PBE) data for Ac2TmPuTe5 after structural relaxation, as listed in the Alexandria database.

Results
Formation energy from raw total energies = -0.986 eV per atom
Calculated total energy = -5.73 eV per atom

a = 5.4471 Å, b = 5.4471 Å, c = 11.8712 Å
α = 90.00°, β = 90.00°, γ = 90.00°
Element x y z (fractional)
Tm  0.0000  0.0000  0.5000
Ac  0.5000  0.5000  0.2911
Ac  0.5000  0.5000  0.7089
Te  0.0000  0.0000  0.2501
Te  0.5000  0.0000  0.5000
Te  0.5000  0.5000  0.0000
Te  0.0000  0.0000  0.7499
Te  0.0000  0.5000  0.5000
Pu  0.0000  0.0000  0.0000


# 6
First-principles (PBE) data for AcPuTh after structural relaxation, as listed in the Alexandria database.

Results
Relative energy among the computed polymorphs = 0.111 eV/atom
Formation energy from the elements = 297.6 meV per atom
Calculated total energy = -8.32 eV per atom

a = 3.5699 Å, b = 6.1657 Å, c = 11.7456 Å
α = 56.03°, β = 81.26°, γ = 73.17°
Element x y z (fractional)
Th  0.0916  0.1018  0.7149
Th  0.9084  0.8982  0.2851
Pu  0.3605  0.7141  0.5650
Pu  0.6395  0.2859  0.4350
Ac  0.3667  0.3571  0.9094
Ac  0.6333  0.6429  0.0906


# 7
First-principles (PBE) data for AcPuTh after structural relaxation, as listed in the Alexandria database.

Results
Relative energy among the computed polymorphs = 0.000 eV/atom
Formation energy from the elements = 186.8 meV per atom
Calculated total energy = -8.43 eV per atom

a = 3.6523 Å, b = 3.6523 Å, c = 8.0291 Å
α = 103.15°, β = 103.15°, γ = 90.00°
Element x y z (fractional)
Th  0.6778  0.6778  0.3555
Ac  0.0004  0.0004  0.0008
Pu  0.3219  0.3219  0.6437


# 8
First-principles (PBE) data for Ac2Pu2Tl3 after structural relaxation, as listed in the Alexandria database.

Results
Formation energy from the elements = -109.2 meV per atom
Calculated total energy = -6.39 eV per atom

a = 4.7948 Å, b = 3.6984 Å, c = 12.5580 Å
α = 90.00°, β = 78.99°, γ = 90.00°
Element x y z (fractional)
Tl  0.8393  0.0000  0.3215
Tl  0.1607  0.0000  0.6785
Tl  0.0000  0.0000  0.0000
Pu  0.7170  0.5000  0.5660
Pu  0.2830  0.5000  0.4340
Ac  0.4214  0.5000  0.1573
Ac  0.5786  0.5000  0.8427